Here is a relaxed structure of LaGdY from the Alexandria database. Energies are from PBE.

As for the formation energy from the elements: 17 meV/atom. The value obtained for the total energy is -25.4 eV/f.u. The calculation puts the density of states at the Fermi level at 1.591 states/eV/atom. For the mass density, the calculation gives 6.3 g/cm³. Its space group is P3m1 (156). The calculation puts the relative energy among the computed polymorphs at 0.000 eV per atom.

a = 3.649 Å, b = 3.649 Å, c = 8.848 Å
α = 90.00°, β = 90.00°, γ = 120.00°
Atoms (fractional coordinates):
Y (0.000, 0.000, 0.997)
Gd (0.333, 0.667, 0.670)
La (0.667, 0.333, 0.333)